Here is a relaxed HfMgWO6 crystal from Alexandria via LeMat-Bulk. Energies are from GGA+U.

Calculated values
Total energy, eV per atom: -8.093

```
data_HfMgWO6
_chemical_formula_sum 'Hf2 Mg2 W2 O12'
_symmetry_space_group_name_H-M 'P 42 n m'
_symmetry_Int_Tables_number 102
_symmetry_space_group_name_Hall 'P 4n -2n'
_cell_length_a 4.794
_cell_length_b 4.794
_cell_length_c 9.346
_cell_angle_alpha 90.00
_cell_angle_beta 90.00
_cell_angle_gamma 90.00
loop_
_atom_site_label
_atom_site_type_symbol
_atom_site_fract_x
_atom_site_fract_y
_atom_site_fract_z
Hf1 Hf 0.000 0.000 0.000
Mg1 Mg 0.000 0.000 0.331
W1 W 0.000 0.000 0.664
O1 O 0.190 0.190 0.821
O2 O 0.194 0.194 0.510
O3 O 0.210 0.210 0.161
```